[1]
Material: BeB6
Method: DFT, PBE-GGA
State: optimized geometry

a = 4.2518 Å, b = 4.2518 Å, c = 7.9300 Å
α = 90.00°, β = 90.00°, γ = 47.48°
Closest atoms and distances in Å follow each position.
Atoms (fractional coordinates):
Be 0.1097 0.8903 0.7500  4 B 1.90-1.95
Be 0.8903 0.1097 0.2500  4 B 1.90-1.95
B 0.1146 0.3603 0.6014  6 B 1.72-1.85
B 0.1146 0.3603 0.8986  6 B 1.72-1.85
B 0.2703 0.5056 0.2500  5 B 1.74-1.85, 2 Be 1.90-1.95
B 0.3603 0.1146 0.1014  6 B 1.72-1.85
B 0.3603 0.1146 0.3986  6 B 1.72-1.85
B 0.4944 0.7297 0.2500  5 B 1.74-1.85, 2 Be 1.90-1.95
B 0.5056 0.2703 0.7500  5 B 1.74-1.85, 2 Be 1.90-1.95
B 0.6397 0.8854 0.6014  6 B 1.72-1.85
B 0.6397 0.8854 0.8986  6 B 1.72-1.85
B 0.7297 0.4944 0.7500  5 B 1.74-1.85, 2 Be 1.90-1.95
B 0.8854 0.6397 0.1014  6 B 1.72-1.85
B 0.8854 0.6397 0.3986  6 B 1.72-1.85

Output
* Fermi-level density of states: 0.193 states/eV/atom
* ρ: 2.3 g/cm³
* ΔE_f: 13.0 kJ per mole of atoms
* space group: Cmcm, No. 63
* total energy: -85.70 eV per cell

[2]
Material: CoSnAs2Se
Method: DFT, PBE-GGA
State: optimized geometry

a = 4.4776 Å, b = 4.4776 Å, c = 5.3825 Å
α = 90.00°, β = 90.00°, γ = 90.00°
Closest atoms and distances in Å follow each position.
Atoms (fractional coordinates):
Co 0.0000 0.0000 0.0000  4 As 2.24
Sn 0.5000 0.5000 0.5000  4 Se 3.17, 8 As 3.50
As 0.0000 0.5000 0.0000  2 Co 2.24
As 0.5000 0.0000 0.0000  2 Co 2.24
Se 0.0000 0.0000 0.5000  2 Co 2.69

Output
* Fermi-level density of states: 0.753 states/eV/atom
* ρ: 6.3 g/cm³
* energy relative to the elements, uncorrected: 222 meV/atom
* space group: P4/mmm, No. 123
* E above lowest polymorph: 0 meV/atom
* total energy: -22.78 eV per cell

[3]
Material: RbHfZn2P
Method: DFT, PBE-GGA
State: optimized geometry

a = 5.1236 Å, b = 5.1236 Å, c = 4.9365 Å
α = 90.00°, β = 90.00°, γ = 90.00°
Closest atoms and distances in Å follow each position.
Atoms (fractional coordinates):
Rb 0.0000 0.0000 0.0000  8 Zn 3.56, 4 Hf 3.62
Hf 0.5000 0.5000 0.0000  2 P 2.47
Zn 0.0000 0.5000 0.5000  2 P 2.56
Zn 0.5000 0.0000 0.5000  2 P 2.56
P 0.5000 0.5000 0.5000  2 Hf 2.47, 4 Zn 2.56

Output
* Fermi-level density of states: 0.772 states/eV/atom
* ρ: 5.5 g/cm³
* ΔE_f: 43.3 kJ per mole of atoms
* space group: P4/mmm, No. 123
* total energy: -16.63 eV per cell

[4]
Material: TaV
Method: DFT, PBE-GGA
State: optimized geometry

a = 9.4538 Å, b = 9.4538 Å, c = 2.9713 Å
α = 90.00°, β = 90.00°, γ = 90.00°
Closest atoms and distances in Å follow each position.
Atoms (fractional coordinates):
Ta 0.1554 0.1554 0.0000  4 V 2.75, 6 Ta 2.93-2.97
Ta 0.1554 0.8446 0.0000  4 V 2.75, 6 Ta 2.93-2.97
Ta 0.3446 0.3446 0.5000  4 V 2.75, 6 Ta 2.93-2.97
Ta 0.3446 0.6554 0.5000  4 V 2.75, 6 Ta 2.93-2.97
Ta 0.6554 0.3446 0.5000  4 V 2.75, 6 Ta 2.93-2.97
Ta 0.6554 0.6554 0.5000  4 V 2.75, 6 Ta 2.93-2.97
Ta 0.8446 0.1554 0.0000  4 V 2.75, 6 Ta 2.93-2.97
Ta 0.8446 0.8446 0.0000  4 V 2.75, 6 Ta 2.93-2.97
V 0.0000 0.3444 0.5000  4 V 2.56, 4 Ta 2.75
V 0.0000 0.6556 0.5000  4 V 2.56, 4 Ta 2.75
V 0.1556 0.5000 0.0000  4 V 2.56, 4 Ta 2.75
V 0.3444 0.0000 0.5000  4 V 2.56, 4 Ta 2.75
V 0.5000 0.1556 0.0000  4 V 2.56, 4 Ta 2.75
V 0.5000 0.8444 0.0000  4 V 2.56, 4 Ta 2.75
V 0.6556 0.0000 0.5000  4 V 2.56, 4 Ta 2.75
V 0.8444 0.5000 0.0000  4 V 2.56, 4 Ta 2.75

Output
* Fermi-level density of states: 1.815 states/eV/atom
* ρ: 11.6 g/cm³
* ΔE_f: 23.1 kJ per mole of atoms
* space group: I4/mmm, No. 139
* E above lowest polymorph: 212 meV/atom
* total energy: -163.94 eV per cell

[5]
Material: CsSbTe2I
Method: DFT, PBE-GGA
State: optimized geometry

a = 6.1327 Å, b = 6.1327 Å, c = 5.9867 Å
α = 90.00°, β = 90.00°, γ = 90.00°
Closest atoms and distances in Å follow each position.
Atoms (fractional coordinates):
Cs 0.0000 0.0000 0.0000  8 Te 4.29, 4 Sb 4.34
Sb 0.5000 0.5000 0.0000  2 I 2.99
Te 0.0000 0.5000 0.5000  2 I 3.07
Te 0.5000 0.0000 0.5000  2 I 3.07
I 0.5000 0.5000 0.5000  2 Sb 2.99, 4 Te 3.07

Output
* Fermi-level density of states: 1.235 states/eV/atom
* ρ: 4.7 g/cm³
* energy relative to the elements, uncorrected: 249 meV/atom
* space group: P4/mmm, No. 123
* E above lowest polymorph: 638 meV/atom
* total energy: -11.57 eV per cell

[6]
Material: Sc4Ir2Pb
Method: DFT, PBE-GGA
State: optimized geometry

a = 4.7727 Å, b = 4.7727 Å, c = 14.3984 Å
α = 90.00°, β = 90.00°, γ = 120.02°
Closest atoms and distances in Å follow each position.
Atoms (fractional coordinates):
Sc 0.0000 0.0000 0.0000  6 Ir 2.89-2.90
Sc 0.0000 0.0000 0.5000  6 Ir 2.89-2.90
Sc 0.3329 0.6671 0.6219  4 Ir 2.64-2.89
Sc 0.3329 0.6671 0.8781  4 Ir 2.64-2.89
Sc 0.3339 0.6661 0.2500  2 Ir 2.72, 3 Pb 2.76
Sc 0.6661 0.3339 0.7500  2 Ir 2.72, 3 Pb 2.76
Sc 0.6671 0.3329 0.1219  4 Ir 2.64-2.89
Sc 0.6671 0.3329 0.3781  4 Ir 2.64-2.89
Ir 0.3335 0.6665 0.0614  8 Sc 2.64-2.90
Ir 0.3335 0.6665 0.4386  8 Sc 2.64-2.90
Ir 0.6665 0.3335 0.5614  8 Sc 2.64-2.90
Ir 0.6665 0.3335 0.9386  8 Sc 2.64-2.90
Pb 0.0007 0.9993 0.2500  3 Sc 2.76
Pb 0.9993 0.0007 0.7500  3 Sc 2.76

Output
* Fermi-level density of states: 0.848 states/eV/atom
* ρ: 9.0 g/cm³
* ΔE_f: -65.0 kJ per mole of atoms
* space group: Cmcm, No. 63
* E above lowest polymorph: 0 meV/atom
* total energy: -102.94 eV per cell

[7]
Material: CdTcNi2
Method: DFT, PBE-GGA
State: optimized geometry

a = 4.5472 Å, b = 4.5472 Å, c = 2.6986 Å
α = 90.00°, β = 90.00°, γ = 90.00°
Closest atoms and distances in Å follow each position.
Atoms (fractional coordinates):
Cd 0.0000 0.0000 0.0000  8 Ni 2.64, 2 Cd 2.70
Tc 0.5000 0.5000 0.0000  8 Ni 2.64, 2 Tc 2.70
Ni 0.0000 0.5000 0.5000  4 Cd 2.64, 4 Tc 2.64, 2 Ni 2.70
Ni 0.5000 0.0000 0.5000  4 Cd 2.64, 4 Tc 2.64, 2 Ni 2.70

Output
* Fermi-level density of states: 0.809 states/eV/atom
* ρ: 9.8 g/cm³
* ΔE_f: 23.6 kJ per mole of atoms
* space group: P4/mmm, No. 123
* total energy: -21.87 eV per cell

[8]
Material: VNiAu
Method: DFT, PBE-GGA
State: optimized geometry

a = 2.7265 Å, b = 2.7265 Å, c = 11.3455 Å
α = 90.00°, β = 90.00°, γ = 90.00°
Closest atoms and distances in Å follow each position.
Atoms (fractional coordinates):
V 0.0000 0.0000 0.0000  4 Ni 2.51, 4 V 2.73
V 0.5000 0.5000 0.5000  4 Ni 2.51, 4 V 2.73
Ni 0.0000 0.0000 0.6417  4 V 2.51, 4 Ni 2.73, 4 Au 2.78
Ni 0.5000 0.5000 0.1416  4 V 2.51, 4 Ni 2.73, 4 Au 2.78
Au 0.0000 0.0000 0.3183  4 Au 2.73, 4 Ni 2.78, 4 V 2.82
Au 0.5000 0.5000 0.8183  4 Au 2.73, 4 Ni 2.78, 4 V 2.82

Output
* Fermi-level density of states: 0.970 states/eV/atom
* ρ: 12.1 g/cm³
* ΔE_f: -2.5 kJ per mole of atoms
* space group: I4mm, No. 107
* E above lowest polymorph: 34 meV/atom
* total energy: -36.51 eV per cell

[9]
Material: CdSiIr4
Method: DFT, PBE-GGA
State: optimized geometry

a = 5.2425 Å, b = 5.2425 Å, c = 5.2425 Å
α = 60.00°, β = 60.00°, γ = 60.00°
Closest atoms and distances in Å follow each position.
Atoms (fractional coordinates):
Cd 0.0000 0.0000 0.0000  12 Ir 3.07, 4 Si 3.21
Si 0.2500 0.2500 0.2500  12 Ir 3.07, 4 Cd 3.21
Ir 0.1257 0.6248 0.6248  6 Ir 2.62-2.63
Ir 0.6248 0.1257 0.6248  6 Ir 2.62-2.63
Ir 0.6248 0.6248 0.1257  6 Ir 2.62-2.63
Ir 0.6248 0.6248 0.6248  6 Ir 2.62-2.63

Output
* Fermi-level density of states: 1.616 states/eV/atom
* ρ: 14.8 g/cm³
* energy relative to the elements, uncorrected: 477 meV/atom
* space group: F-43m, No. 216
* total energy: -38.92 eV per cell

[10]
Material: Pt4C3
Method: DFT, PBE-GGA
State: optimized geometry

a = 4.5360 Å, b = 4.5360 Å, c = 4.5360 Å
α = 90.00°, β = 90.00°, γ = 90.00°
Closest atoms and distances in Å follow each position.
Atoms (fractional coordinates):
Pt 0.2290 0.2290 0.7710  3 C 2.03
Pt 0.2290 0.7710 0.2290  3 C 2.03
Pt 0.7710 0.2290 0.2290  3 C 2.03
Pt 0.7710 0.7710 0.7710  3 C 2.03
C 0.0000 0.5000 0.5000  4 Pt 2.03
C 0.5000 0.0000 0.5000  4 Pt 2.03
C 0.5000 0.5000 0.0000  4 Pt 2.03

Output
* Fermi-level density of states: 0.297 states/eV/atom
* ρ: 14.5 g/cm³
* ΔE_f: 57.5 kJ per mole of atoms
* space group: P-43m, No. 215
* E above lowest polymorph: 0 meV/atom
* total energy: -47.66 eV per cell

Results for volume: 52.8, 107.9, 129.6, 33.2, 225.2, 142.0, 55.8, 42.2, 101.9, 93.3 (in Å³/f.u., following the order of the records).